Below is an optimized crystal structure of CeNdTlZn, with properties calculated at the PBE-GGA level.

Results
Spin magnetization: 1.6 μB per cell
Formation energy: -0.94 eV/f.u.
E: -15.284 eV per cell

abc: 5.383 5.383 5.383
angles: 60.00 60.00 60.00
Last column: magnetic moment on the atom in μB.
Fractional coordinates of all 4 atoms:
Tl 0.500 0.500 0.500  -0.01
Nd 0.250 0.250 0.250  0.17
Zn 0.000 0.000 0.000  0.03
Ce 0.750 0.750 0.750  0.93